Compound: AcTbPm5Sm2
Source: Alexandria
Functional: PBE
Structure: optimized geometry

calculated density: 7.3 g/cm3
space-group type: I4/mcm
VASP energy: -4.40 eV/atom
ΔE_f: 0.259 eV per atom

Cell: 9.0050 9.0050 10.1267 Å, 116.40 116.40 90.00°
With the nearest neighbours (Å) after each atom.
Element x y z (fractional)
1 Ac 0.2500 0.2500 0.5000  10 Pm 3.73-3.94
2 Ac 0.7500 0.7500 0.5000  10 Pm 3.73-3.94
3 Tb 0.2500 0.7500 0.5000  4 Pm 3.19
4 Tb 0.7500 0.2500 0.5000  4 Pm 3.19
5 Pm 0.9288 0.4288 0.2645  1 Sm 3.10, 1 Tb 3.19
6 Pm 0.6643 0.1643 0.7355  1 Sm 3.10, 1 Tb 3.19
7 Pm 0.0712 0.5712 0.7355  1 Sm 3.10, 1 Tb 3.19
8 Pm 0.1643 0.0712 0.7355  1 Sm 3.10, 1 Tb 3.19
9 Pm 0.5712 0.6643 0.7355  1 Sm 3.10, 1 Tb 3.19
10 Pm 0.8357 0.9288 0.2645  1 Sm 3.10, 1 Tb 3.19
11 Pm 0.4288 0.3357 0.2645  1 Sm 3.10, 1 Tb 3.19
12 Pm 0.3357 0.8357 0.2645  1 Sm 3.10, 1 Tb 3.19
13 Pm 0.5000 0.5000 0.0000  4 Sm 3.61, 8 Pm 3.85, 2 Ac 3.94
14 Pm 0.0000 0.0000 0.0000  4 Sm 3.61, 8 Pm 3.85, 2 Ac 3.94
15 Sm 0.1161 0.3839 0.0000  1 Sm 2.96, 2 Pm 3.10
16 Sm 0.6161 0.1161 0.0000  1 Sm 2.96, 2 Pm 3.10
17 Sm 0.3839 0.8839 0.0000  1 Sm 2.96, 2 Pm 3.10
18 Sm 0.8839 0.6161 0.0000  1 Sm 2.96, 2 Pm 3.10